# 1
Density functional theory data (PBE-GGA) for a geometry-optimized NaNdS2O8 structure.

Summary:
space group: P-3
density: 3154 kg/m³
formation energy without anion corrections: -23.879 eV per formula unit

Cell: 5.498 5.498 7.226 Å, 90.00 90.00 120.00°
Fractional coordinates of all 12 atoms:
Nd 0.000 0.000 0.500
O 0.185 0.812 0.711
O 0.627 0.815 0.711
Na 0.000 0.000 0.000
O 0.812 0.627 0.289
O 0.815 0.188 0.289
S 0.667 0.333 0.213
S 0.333 0.667 0.787
O 0.333 0.667 0.987
O 0.373 0.185 0.289
O 0.667 0.333 0.013
O 0.188 0.373 0.711

=====

# 2
Density functional theory data (PBE-GGA) for a geometry-optimized Al2CrNiH structure.

Summary:
energy: -27.0 eV/f.u.
space group: P4/mmm
density: 5094 kg/m³

Cell: 4.004 4.004 3.368 Å, 90.00 90.00 90.00°
Each line ends with the local moment (μB).
Fractional coordinates of all 5 atoms:
Ni 0.500 0.500 0.500  -0.02
Cr 0.000 0.000 0.500  1.80
H 0.000 0.000 0.000  -0.01
Al 0.000 0.500 0.000  -0.02
Al 0.500 0.000 0.000  -0.02

=====

# 3
Density functional theory data (PBE-GGA) for a geometry-optimized SrCa2P structure.

Summary:
space group: Cmmm
density: 2439 kg/m³
ΔH_f (0 K): -0.487 eV per atom

Cell: 3.723 3.723 9.759 Å, 90.00 90.00 90.25°
Fractional coordinates of all 4 atoms:
Ca 0.000 0.000 0.404
Sr 0.500 0.500 0.750
Ca 0.000 0.000 0.096
P 0.500 0.500 0.250

=====

# 4
Density functional theory data (PBE-GGA) for a geometry-optimized VSnGe2Pb structure.

Summary:
space group: P4/mmm
density: 5605 kg/m³
ΔH_f (0 K): 1.489 eV per atom

Cell: 5.161 5.807 5.161 Å, 90.00 90.00 90.00°
Each line ends with the local moment (μB).
Fractional coordinates of all 5 atoms:
Pb 0.000 0.500 0.000  0.03
Ge 0.500 0.000 0.000  -0.02
V 0.500 0.500 0.500  -0.26
Ge 0.000 0.000 0.500  0.00
Sn 0.000 0.000 0.000  0.00

=====

# 5
Density functional theory data (PBE-GGA) for a geometry-optimized ZrSi2Tc structure.

Summary:
space group: Cmmm
density: 6512 kg/m³
formation energy without anion corrections: -1.098 eV per formula unit

Cell: 4.339 4.339 3.370 Å, 90.00 90.00 99.47°
Fractional coordinates of all 4 atoms:
Zr 0.000 0.500 0.500
Tc 0.500 0.000 0.500
Si 0.500 0.500 0.000
Si 0.000 0.000 0.000

=====

# 6
Density functional theory data (PBE-GGA) for a geometry-optimized Li7B8C8 structure.

Summary:
space group: P-3m1
density: 2137 kg/m³
ΔH_f (0 K): -0.289 eV per atom

Cell: 2.744 2.744 27.545 Å, 90.00 90.00 120.00°
Fractional coordinates of all 23 atoms:
B 0.667 0.333 0.051
Li 0.000 0.000 0.115
C 0.333 0.667 0.820
B 0.333 0.667 0.692
B 0.667 0.333 0.564
B 0.667 0.333 0.308
C 0.667 0.333 0.436
C 0.667 0.333 0.947
Li 0.000 0.000 0.244
B 0.333 0.667 0.949
C 0.333 0.667 0.564
Li 0.000 0.000 0.885
Li 0.000 0.000 0.756
C 0.333 0.667 0.053
Li 0.000 0.000 0.628
Li 0.000 0.000 0.372
B 0.333 0.667 0.436
B 0.667 0.333 0.820
Li 0.000 0.000 0.500
C 0.333 0.667 0.308
C 0.667 0.333 0.692
C 0.667 0.333 0.180
B 0.333 0.667 0.180